Record 1
DFT (PBE) results for an optimized crystal structure of Tm4Mg5In.

Summary:
ΔE_f = -0.1407 eV/atom
Symmetry = C2/m, No. 12

Lattice parameters (Å, degrees): 8.210 8.210 6.484 104.35 104.35 37.08
Sites, in units of the cell vectors:
Tm  0.100  0.100  0.399
Tm  0.303  0.303  0.196
Tm  0.697  0.697  0.804
Tm  0.900  0.900  0.601
Mg  0.098  0.098  0.913
Mg  0.301  0.301  0.701
Mg  0.500  0.500  0.000
Mg  0.699  0.699  0.299
Mg  0.902  0.902  0.087
In  0.500  0.500  0.500

Record 2
DFT (PBE) results for an optimized crystal structure of Cs2MnCu2.

Summary:
ΔE_f = 0.7933 eV/atom
Symmetry = I4/mmm, No. 139

Lattice parameters (Å, degrees): 3.587 3.587 24.031 90.00 90.00 90.00
Sites, in units of the cell vectors:
Cs  0.000  0.000  0.125
Cs  0.000  0.000  0.875
Cs  0.500  0.500  0.375
Cs  0.500  0.500  0.625
Mn  0.000  0.000  0.500
Mn  0.500  0.500  0.000
Cu  0.000  0.500  0.250
Cu  0.000  0.500  0.750
Cu  0.500  0.000  0.250
Cu  0.500  0.000  0.750

Record 3
DFT (PBE) results for an optimized crystal structure of Ca8Zn2Pd.

Summary:
ΔE_f = -0.1860 eV/atom
Symmetry = Cm, No. 8
Distance to the lowest polymorph of the same formula = 19 meV/atom

Lattice parameters (Å, degrees): 8.280 8.280 6.488 102.87 102.87 115.07
Sites, in units of the cell vectors:
Ca  0.000  0.000  0.000
Ca  0.000  0.257  0.555
Ca  0.145  0.532  0.180
Ca  0.257  0.000  0.555
Ca  0.439  0.691  0.794
Ca  0.532  0.145  0.180
Ca  0.691  0.439  0.794
Ca  0.694  0.694  0.383
Zn  0.051  0.668  0.708
Zn  0.668  0.051  0.708
Pd  0.343  0.343  0.403

Record 4
DFT (PBE) results for an optimized crystal structure of LaCN3.

Summary:
Electronic total energy = -24.9 eV/f.u.
Symmetry = Pm-3m, No. 221

Lattice parameters (Å, degrees): 4.710 4.710 4.710 90.00 90.00 90.00
Sites, in units of the cell vectors:
La  0.000  0.000  0.000
C  0.500  0.500  0.500
N  0.000  0.000  0.500
N  0.000  0.500  0.000
N  0.500  0.000  0.000

Record 5
DFT (PBE) results for an optimized crystal structure of Er4ScS4.

Summary:
Electronic total energy = -56.5 eV/f.u.
Symmetry = C2/m, No. 12

Lattice parameters (Å, degrees): 6.589 6.589 9.262 118.48 118.48 33.45
Sites, in units of the cell vectors:
Er  0.098  0.098  0.401
Er  0.302  0.302  0.206
Er  0.698  0.698  0.794
Er  0.902  0.902  0.599
Sc  0.500  0.500  0.000
S  0.099  0.099  0.908
S  0.305  0.305  0.703
S  0.695  0.695  0.297
S  0.901  0.901  0.092

Record 6
DFT (PBE) results for an optimized crystal structure of Ca2ZnMo.

Summary:
ΔE_f = 0.6190 eV/atom
Symmetry = R-3m, No. 166

Lattice parameters (Å, degrees): 3.230 3.230 31.097 90.00 90.00 120.00
Sites, in units of the cell vectors:
Ca  0.000  0.000  0.246
Ca  0.000  0.000  0.754
Ca  0.333  0.667  0.420
Ca  0.333  0.667  0.913
Ca  0.667  0.333  0.087
Ca  0.667  0.333  0.580
Zn  0.000  0.000  0.000
Zn  0.333  0.667  0.667
Zn  0.667  0.333  0.333
Mo  0.000  0.000  0.500
Mo  0.333  0.667  0.167
Mo  0.667  0.333  0.833

Record 7
DFT (PBE) results for an optimized crystal structure of Tl2ZnNi.

Summary:
ΔE_f = 0.1951 eV/atom
Symmetry = Cm, No. 8
Distance to the lowest polymorph of the same formula = 62 meV/atom

Lattice parameters (Å, degrees): 9.588 3.218 6.300 90.00 114.88 90.00
Sites, in units of the cell vectors:
Tl  0.000  0.000  0.000
Tl  0.158  0.000  0.605
Tl  0.500  0.500  0.000
Tl  0.658  0.500  0.605
Zn  0.307  0.500  0.278
Zn  0.807  0.000  0.278
Ni  0.429  0.000  0.602
Ni  0.929  0.500  0.602

Record 8
DFT (PBE) results for an optimized crystal structure of Cu2NiW.

Summary:
ΔE_f = 0.1785 eV/atom
Symmetry = Pmm2, No. 25
Distance to the lowest polymorph of the same formula = 71 meV/atom

Lattice parameters (Å, degrees): 2.617 3.569 5.489 90.00 90.00 90.00
Sites, in units of the cell vectors:
Cu  0.000  0.000  0.000
Cu  0.500  0.500  0.228
Ni  0.000  0.000  0.479
W  0.500  0.500  0.716

Record 9
DFT (PBE) results for an optimized crystal structure of LiFeIrW.

Summary:
ΔE_f = -0.0895 eV/atom
Symmetry = F-43m, No. 216

Lattice parameters (Å, degrees): 5.945 5.945 5.945 90.00 90.00 90.00
Sites, in units of the cell vectors:
Li  0.000  0.000  0.000
Li  0.000  0.500  0.500
Li  0.500  0.000  0.500
Li  0.500  0.500  0.000
Fe  0.250  0.250  0.750
Fe  0.250  0.750  0.250
Fe  0.750  0.250  0.250
Fe  0.750  0.750  0.750
Ir  0.250  0.250  0.250
Ir  0.250  0.750  0.750
Ir  0.750  0.250  0.750
Ir  0.750  0.750  0.250
W  0.000  0.000  0.500
W  0.000  0.500  0.000
W  0.500  0.000  0.000
W  0.500  0.500  0.500

Record 10
DFT (PBE) results for an optimized crystal structure of SmDyZnRh.

Summary:
ΔE_f = -0.5747 eV/atom
Symmetry = Amm2, No. 38
Distance to the lowest polymorph of the same formula = 0 meV/atom

Lattice parameters (Å, degrees): 4.399 3.906 10.693 90.00 90.00 90.00
Sites, in units of the cell vectors:
Sm  0.000  0.000  0.000
Sm  0.000  0.500  0.500
Dy  0.500  0.000  0.720
Dy  0.500  0.500  0.220
Zn  0.500  0.000  0.429
Zn  0.500  0.500  0.929
Rh  0.000  0.000  0.282
Rh  0.000  0.500  0.782

Record 11
DFT (PBE) results for an optimized crystal structure of Nd2Ni3Sn5.

Summary:
ΔE_f = -0.4948 eV/atom
Symmetry = Cmc2_1, No. 36
Distance to the lowest polymorph of the same formula = 15 meV/atom

Lattice parameters (Å, degrees): 13.396 13.396 7.262 90.00 90.00 160.95
Sites, in units of the cell vectors:
Nd  0.026  0.974  0.500
Nd  0.327  0.673  0.494
Nd  0.673  0.327  0.994
Nd  0.974  0.026  0.000
Ni  0.106  0.894  0.759
Ni  0.278  0.722  0.974
Ni  0.450  0.550  0.718
Ni  0.550  0.450  0.218
Ni  0.722  0.278  0.474
Ni  0.894  0.106  0.259
Sn  0.093  0.907  0.125
Sn  0.203  0.797  0.689
Sn  0.214  0.786  0.272
Sn  0.378  0.622  0.997
Sn  0.451  0.549  0.336
Sn  0.549  0.451  0.836
Sn  0.622  0.378  0.497
Sn  0.786  0.214  0.772
Sn  0.797  0.203  0.189
Sn  0.907  0.093  0.625

Record 12
DFT (PBE) results for an optimized crystal structure of Ta3GaSb.

Summary:
Symmetry = Pm-3m, No. 221
Distance to the lowest polymorph of the same formula = 0 meV/atom

Lattice parameters (Å, degrees): 4.763 4.763 4.763 90.00 90.00 90.00
Sites, in units of the cell vectors:
Ta  0.000  0.000  0.500
Ta  0.000  0.500  0.000
Ta  0.500  0.000  0.000
Ga  0.000  0.000  0.000
Sb  0.500  0.500  0.500